{
  "formula": "Ca2PdRuBr",
  "functional": "GGA-PBE",
  "state": "relaxed",
  "space_group": "P4/mmm",
  "lattice_angstrom": [[-0.236, 1.434, 5.421], [2.687, -3.821, 1.127], [4.647, 3.087, -0.614]],
  "species": ["Pd", "Br", "Ca", "Ca", "Ru"],
  "fractional_positions": [[0.000, 0.000, 0.000], [0.500, 0.500, 0.500], [0.500, 0.000, 0.000], [0.000, 0.000, 0.500], [0.000, 0.500, 0.000]]
}

{
  "formula": "Ca2SbPdBr",
  "functional": "GGA-PBE",
  "state": "relaxed",
  "space_group": "P4/mmm",
  "lattice_angstrom": [[-5.600, -1.972, 0.622], [1.055, -1.353, 5.209], [-1.719, 5.439, 1.761]],
  "species": ["Sb", "Ca", "Ca", "Pd", "Br"],
  "fractional_positions": [[0.000, 0.000, 0.000], [0.500, 0.000, 0.000], [0.000, 0.000, 0.500], [0.500, 0.500, 0.500], [0.000, 0.500, 0.000]]
}

{
  "formula": "CaPdSe2Br",
  "functional": "GGA-PBE",
  "state": "relaxed",
  "space_group": "P4/mmm",
  "lattice_angstrom": [[-0.574, 5.223, 1.772], [-4.686, 0.477, -2.926], [-2.860, -1.771, 4.292]],
  "species": ["Ca", "Se", "Se", "Br", "Pd"],
  "fractional_positions": [[0.000, 0.000, 0.000], [0.500, 0.000, 0.000], [0.000, 0.500, 0.000], [0.000, 0.000, 0.500], [0.500, 0.500, 0.500]]
}

| no. | total energy (eV/f.u.) | uncorrected formation energy (eV per atom) |
| --- | --- | --- |
| 1 | -20.1 | 0.00 |
| 2 | -15.1 | -0.03 |
| 3 | -15.3 | 0.10 |